A.
CaIBr: relaxed, PBE.

POSCAR file:
```
CaIBr
1.0
-7.207 -0.010 -3.817
1.623 -2.470 -3.058
0.099 -5.699 4.656
I Ca Br
2 2 2
Cartesian
-5.052 -5.337 1.629
-4.290 -3.722 -2.228
-6.942 -3.940 -0.502
-6.180 -2.325 -4.359
-1.360 -0.556 -0.273
-0.499 -4.641 0.526
```

Summary:
Its space-group type is Cm, No. 8. Its spin magnetization is 0.000 μB per cell.

B.
CaIBr: relaxed, PBE.

POSCAR file:
```
CaIBr
1.0
7.631 0.000 0.001
0.000 4.400 0.000
-6.779 0.000 15.226
I Ca Br
4 4 4
Cartesian
-4.223 0.000 13.366
5.075 0.000 1.862
-0.834 2.200 5.753
1.686 2.200 9.475
0.000 0.000 0.000
-3.390 2.200 7.613
0.426 0.000 7.614
3.815 2.200 0.000
2.952 0.000 6.136
-2.101 0.000 9.091
-0.437 2.200 13.749
1.289 2.200 1.478
```

Summary:
Its space-group type is C2/m, No. 12. Its spin magnetization is 0.000 μB per cell.

Which of them is least stable? Easy: A.